Density functional theory data (PBE) for a geometry-optimized Er3Se2O2 structure.

Output
density: 8.17 g/cm3
E: -0.257 Ha/atom

Cell: 3.828 6.580 6.682 Å, 117.94 106.64 90.00°
Sites, in units of the cell vectors:
Er (0.000, 0.000, 0.000)
Er (0.226, 0.695, 0.452)
Er (0.774, 0.305, 0.548)
Se (0.592, 0.809, 0.183)
Se (0.408, 0.191, 0.817)
O (0.815, 0.675, 0.630)
O (0.185, 0.325, 0.370)